A plane-wave DFT calculation with PBE was carried out for AgHI2O after structural relaxation.

```
AgHI2O
1.0
5.8934 0.0000 0.0000
0.0000 5.8934 0.0000
0.0000 0.0000 3.9720
Ag H I O
1 1 2 1
Direct
0.0000 0.0000 0.0000
0.5000 0.5000 0.5000
0.0000 0.5000 0.0000
0.5000 0.0000 0.0000
0.0000 0.0000 0.5000
```

Crystal system: tetragonal
Energy relative to the lowest polymorph listed for this composition (eV per formula unit): 2.037
Symmetry: No. 123
Calculated volume (Å³/f.u.): 138
Spin magnetization (μB/cell): 2.4
Density of states at the Fermi level (states/eV/f.u.): 7.24
Energy (eV/atom): -2.09